(1)
Compound: La6AsP3S2
Source: Alexandria
Functional: PBE-GGA
Structure: relaxed

a b c (Å): 4.259 8.511 9.524
angles (deg): 103.04 102.92 90.00
Element x y z (fractional)
1 La 0.332 0.920 0.663
2 La 0.665 0.587 0.330
3 La 0.668 0.080 0.337
4 La 0.999 0.254 0.999
5 La 0.001 0.746 0.001
6 La 0.335 0.413 0.670
7 As 0.500 0.000 0.000
8 P 0.500 0.500 0.000
9 P 0.833 0.169 0.666
10 P 0.167 0.831 0.334
11 S 0.832 0.664 0.664
12 S 0.168 0.336 0.336

Computed properties:
DFT total energy: -80.5 eV per cell
Space-group type: C2/m
Formation energy from raw total energies: -1.82 eV/atom


(2)
Compound: Sr2MgZn2
Source: Alexandria
Functional: PBE-GGA
Structure: relaxed

a b c (Å): 6.232 6.232 5.995
angles (deg): 58.69 58.69 90.00
Element x y z (fractional)
1 Sr 0.750 0.250 0.500
2 Sr 0.250 0.750 0.500
3 Zn 0.352 0.352 0.296
4 Zn 0.648 0.648 0.704
5 Mg 0.000 0.000 0.000

Computed properties:
DFT total energy: -7.8 eV per cell
Space-group type: I4/mmm
Energy above the most stable polymorph in this dataset: 135.7 meV/atom


(3)
Compound: AcPm2Sm4Dy
Source: Alexandria
Functional: PBE-GGA
Structure: relaxed

a b c (Å): 9.702 9.702 12.012
angles (deg): 128.19 128.19 88.52
Element x y z (fractional)
1 Ac 0.000 0.500 0.000
2 Ac 0.000 0.500 0.500
3 Pm 0.500 0.000 0.000
4 Pm 0.500 0.000 0.500
5 Pm 0.000 0.000 0.500
6 Pm 0.500 0.500 0.000
7 Sm 0.261 0.769 0.015
8 Sm 0.731 0.239 0.485
9 Sm 0.269 0.761 0.515
10 Sm 0.739 0.231 0.985
11 Sm 0.725 0.741 0.980
12 Sm 0.759 0.775 0.520
13 Sm 0.241 0.225 0.480
14 Sm 0.275 0.259 0.020
15 Dy 0.500 0.500 0.500
16 Dy 0.000 0.000 0.000

Computed properties:
DFT total energy: -67.8 eV per cell
Space-group type: C2/c


(4)
Compound: HfZnSe2
Source: Alexandria
Functional: PBE-GGA
Structure: relaxed

a b c (Å): 6.130 6.130 7.034
angles (deg): 64.17 64.17 90.00
Element x y z (fractional)
1 Zn 0.500 0.500 0.000
2 Zn 0.250 0.750 0.500
3 Hf 0.000 0.000 0.000
4 Hf 0.750 0.250 0.500
5 Se 0.616 0.125 0.250
6 Se 0.134 0.625 0.250
7 Se 0.375 0.384 0.750
8 Se 0.875 0.866 0.750

Computed properties:
DFT total energy: -39.8 eV per cell
Space-group type: I-42d
Formation energy from raw total energies: -0.43 eV/atom


(5)
Compound: RbCaAg2Cl8
Source: Alexandria
Functional: PBE-GGA
Structure: relaxed

a b c (Å): 7.234 7.234 8.170
angles (deg): 116.28 116.28 90.00
Element x y z (fractional)
1 Rb 0.750 0.250 0.500
2 Ca 0.000 0.000 0.000
3 Ag 0.500 0.500 0.000
4 Ag 0.250 0.750 0.500
5 Cl 0.686 0.821 0.040
6 Cl 0.354 0.219 0.040
7 Cl 0.586 0.714 0.535
8 Cl 0.948 0.820 0.535
9 Cl 0.180 0.414 0.465
10 Cl 0.286 0.052 0.465
11 Cl 0.179 0.646 0.960
12 Cl 0.781 0.314 0.960

Computed properties:
DFT total energy: -35.5 eV per cell
Space-group type: I-4
Formation energy from raw total energies: -1.00 eV/atom


(6)
Compound: LaCoP
Source: Alexandria
Functional: PBE-GGA
Structure: relaxed

a b c (Å): 4.386 4.386 4.386
angles (deg): 60.00 60.00 60.00
Element x y z (fractional)
1 Co 0.750 0.750 0.750
2 La 0.000 0.000 0.000
3 P 0.500 0.500 0.500

Computed properties:
DFT total energy: -19.1 eV per cell
Space-group type: F-43m


(7)
Compound: KNbAl2
Source: Alexandria
Functional: PBE-GGA
Structure: relaxed

a b c (Å): 4.940 4.940 4.940
angles (deg): 60.00 60.00 60.00
Element x y z (fractional)
1 Nb 0.500 0.500 0.500
2 K 0.000 0.000 0.000
3 Al 0.250 0.250 0.250
4 Al 0.750 0.750 0.750

Computed properties:
DFT total energy: -15.6 eV per cell
Space-group type: Fm-3m
Energy above the most stable polymorph in this dataset: 0.0 meV/atom


(8)
Compound: CoSb2
Source: Alexandria
Functional: PBE-GGA
Structure: relaxed

a b c (Å): 4.463 4.463 4.463
angles (deg): 60.00 60.00 60.00
Element x y z (fractional)
1 Co 0.000 0.000 0.000
2 Sb 0.750 0.750 0.750
3 Sb 0.250 0.250 0.250

Computed properties:
DFT total energy: -15.3 eV per cell
Space-group type: Fm-3m
Formation energy from raw total energies: 0.00 eV/atom


(9)
Compound: YFe3Cu
Source: Alexandria
Functional: PBE-GGA
Structure: relaxed

a b c (Å): 4.667 4.667 4.667
angles (deg): 90.00 90.00 90.00
Element x y z (fractional)
1 Y 0.000 0.000 0.000
2 Fe 0.000 0.500 0.000
3 Fe 0.000 0.000 0.500
4 Fe 0.500 0.000 0.000
5 Cu 0.500 0.500 0.500

Computed properties:
DFT total energy: -26.1 eV per cell
Space-group type: Pm-3m
Energy above the most stable polymorph in this dataset: 1266.6 meV/atom


(10)
Compound: PuPaZnHg
Source: Alexandria
Functional: PBE-GGA
Structure: relaxed

a b c (Å): 5.172 5.172 5.172
angles (deg): 60.00 60.00 60.00
Element x y z (fractional)
1 Zn 0.000 0.000 0.000
2 Pa 0.750 0.750 0.750
3 Hg 0.500 0.500 0.500
4 Pu 0.250 0.250 0.250

Computed properties:
DFT total energy: -24.9 eV per cell
Space-group type: F-43m


(11)
Compound: TaFe2Tc2
Source: Alexandria
Functional: PBE-GGA
Structure: relaxed

a b c (Å): 7.215 7.215 2.660
angles (deg): 90.00 90.00 90.00
Element x y z (fractional)
1 Fe 0.172 0.672 0.500
2 Fe 0.672 0.828 0.500
3 Fe 0.828 0.328 0.500
4 Fe 0.328 0.172 0.500
5 Tc 0.374 0.874 0.000
6 Tc 0.874 0.626 0.000
7 Tc 0.626 0.126 0.000
8 Tc 0.126 0.374 0.000
9 Ta 0.000 0.000 0.000
10 Ta 0.500 0.500 0.000

Computed properties:
DFT total energy: -97.7 eV per cell
Space-group type: P4/mbm
Energy above the most stable polymorph in this dataset: 87.4 meV/atom


(12)
Compound: CrHW3
Source: Alexandria
Functional: PBE-GGA
Structure: relaxed

a b c (Å): 4.493 4.493 4.493
angles (deg): 90.00 90.00 90.00
Element x y z (fractional)
1 Cr 0.000 0.000 0.000
2 W 0.000 0.500 0.000
3 W 0.000 0.000 0.500
4 W 0.500 0.000 0.000
5 H 0.500 0.500 0.500

Computed properties:
DFT total energy: -40.5 eV per cell
Space-group type: Pm-3m
Energy above the most stable polymorph in this dataset: 1870.4 meV/atom